(1)
An optimized crystal structure of Zr4Ir3, computed with GGA-PBE.

a b c (Å): 7.9843 7.9843 7.9843
angles (deg): 33.66 33.66 33.66
Atoms (fractional coordinates):
Zr  0.1214  0.1214  0.1214
Zr  0.3717  0.3717  0.3717
Zr  0.6283  0.6283  0.6283
Zr  0.8786  0.8786  0.8786
Ir  0.2487  0.2487  0.2487
Ir  0.5000  0.5000  0.5000
Ir  0.7513  0.7513  0.7513

Summary:
The value obtained for the excess energy over the best structure of this formula in the dataset is 0 meV per atom. The value obtained for the energy of formation from the pure elements is -0.713 eV/atom. As for the symmetry: No. 166. The total energy is -9.39 eV per atom.



(2)
An optimized crystal structure of Pu2Zn16Fe, computed with GGA-PBE.

a b c (Å): 6.7903 6.7903 6.7903
angles (deg): 82.59 82.59 82.59
Atoms (fractional coordinates):
Pu  0.0000  0.0000  0.0000
Pu  0.3264  0.3264  0.3264
Zn  0.0155  0.0155  0.5192
Zn  0.0155  0.5192  0.0155
Zn  0.1614  0.6690  0.6690
Zn  0.3108  0.3108  0.8282
Zn  0.3108  0.8282  0.3108
Zn  0.3762  0.6671  0.9587
Zn  0.3762  0.9587  0.6671
Zn  0.5192  0.0155  0.0155
Zn  0.5660  0.5660  0.5660
Zn  0.6671  0.3762  0.9587
Zn  0.6671  0.9587  0.3762
Zn  0.6690  0.1614  0.6690
Zn  0.6690  0.6690  0.1614
Zn  0.8282  0.3108  0.3108
Zn  0.9587  0.3762  0.6671
Zn  0.9587  0.6671  0.3762
Fe  0.7635  0.7635  0.7635

Summary:
The value obtained for the energy of formation from the pure elements is -0.094 eV/atom. As for the symmetry: No. 160. The total energy is -3.12 eV per atom.